# Sr4ErV3O12 PBE with a Hubbard U optimized geometry
# - E_tot (eV per atom) = -7.253
# - N(E_F) (states/eV per cell) = 19.2
data_Sr4ErV3O12
_chemical_formula_sum 'Sr8 Er2 V6 O24'
_space_group_name_H-M_alt 'I m -3 m'
_space_group_IT_number 229
_space_group_name_Hall '-I 4 2 3'
_cell_length_a 8.007
_cell_length_b 8.007
_cell_length_c 8.007
_cell_angle_alpha 90.00
_cell_angle_beta 90.00
_cell_angle_gamma 90.00
loop_
_atom_site_label
_atom_site_type_symbol
_atom_site_fract_x
_atom_site_fract_y
_atom_site_fract_z
Sr1 Sr 0.250 0.250 0.250
Er1 Er 0.000 0.000 0.000
V1 V 0.000 0.000 0.500
O1 O 0.000 0.000 0.268
O2 O 0.000 0.250 0.500